Cu3Ag7: optimized geometry, PBE-GGA.

The value obtained for the formation energy from the elements is 0.8 eV per formula unit. The calculation puts the raw total energy at -3.01 eV/atom. The calculation puts the volume at 326.1 Å³ per cell. For the relative energy among the computed polymorphs, the calculation gives 48.5 meV/atom.

It has space group C2/m (No. 12), with a = 14.815 Å, b = 2.882 Å, c = 7.914 Å, α = 90.00°, β = 105.14° and γ = 90.00°. The asymmetric unit holds Cu at (0.000, 0.000, 0.000), Cu at (0.095, 0.500, 0.290), Ag at (0.000, 0.000, 0.500), Ag at (0.094, 0.500, 0.809), Ag at (0.196, 0.000, 0.109) and Ag at (0.196, 0.000, 0.590).